[1]
A plane-wave DFT calculation with PBE was carried out for a relaxed structure of MgTlCd.

As for the final energy: -1.540 eV per atom. As for the density: 6.9 g/cm³. The energy relative to the lowest polymorph listed for this composition comes out at 0.0 meV per atom. Its space-group type is F-43m, No. 216.

a b c (Å): 4.869 4.869 4.869
angles (deg): 60.00 60.00 60.00
Fractional coordinates of all 3 atoms:
Mg  0.000  0.000  0.000
Tl  0.500  0.500  0.500
Cd  0.250  0.250  0.250

=====

[2]
A plane-wave DFT calculation with PBE was carried out for a relaxed structure of Y3Mg3TlCd2.

As for the final energy: -3.410 eV per atom. As for the density: 5.6 g/cm³. The calculation puts the size of the total moment at 0.0 μB per formula unit. Its space-group type is P-62m, No. 189.

a b c (Å): 7.603 7.603 4.557
angles (deg): 90.00 90.00 120.00
Fractional coordinates of all 9 atoms:
Y  0.000  0.579  0.000
Y  0.421  0.421  0.000
Y  0.579  0.000  0.000
Mg  0.000  0.246  0.500
Mg  0.246  0.000  0.500
Mg  0.754  0.754  0.500
Tl  0.000  0.000  0.000
Cd  0.333  0.667  0.500
Cd  0.667  0.333  0.500

=====

[3]
A plane-wave DFT calculation with PBE was carried out for a relaxed structure of TmMg2Cd.

As for the final energy: -2.222 eV per atom. As for the density: 5.9 g/cm³. The calculation puts the size of the total moment at 0.0 μB per formula unit. The energy relative to the lowest polymorph listed for this composition comes out at 44.3 meV per atom. Its space-group type is Pmm2, No. 25.

a b c (Å): 4.107 4.775 4.775
angles (deg): 90.00 90.00 90.00
Fractional coordinates of all 4 atoms:
Tm  0.000  0.000  0.000
Mg  0.500  0.000  0.500
Mg  0.500  0.500  0.996
Cd  0.000  0.500  0.496

=====

[4]
A plane-wave DFT calculation with PBE was carried out for a relaxed structure of TmMg2Cd.

As for the final energy: -2.266 eV per atom. As for the density: 5.8 g/cm³. The calculation puts the size of the total moment at 0.0 μB per formula unit. The energy relative to the lowest polymorph listed for this composition comes out at 0.0 meV per atom. Its space-group type is Cmcm, No. 63.

a b c (Å): 6.453 6.453 4.873
angles (deg): 90.00 90.00 112.00
Fractional coordinates of all 8 atoms:
Tm  0.131  0.869  0.750
Tm  0.869  0.131  0.250
Mg  0.192  0.387  0.750
Mg  0.387  0.192  0.250
Mg  0.613  0.808  0.750
Mg  0.808  0.613  0.250
Cd  0.322  0.678  0.250
Cd  0.678  0.322  0.750

=====

[5]
A plane-wave DFT calculation with PBE was carried out for a relaxed structure of TmMgCd.

As for the final energy: -1.923 eV per atom. As for the density: 5.7 g/cm³. The calculation puts the size of the total moment at 0.0 μB per formula unit. Its space-group type is F-43m, No. 216.

a b c (Å): 5.003 5.003 5.003
angles (deg): 60.00 60.00 60.00
Fractional coordinates of all 3 atoms:
Tm  0.000  0.000  0.000
Mg  0.250  0.250  0.250
Cd  0.750  0.750  0.750

=====

[6]
A plane-wave DFT calculation with PBE was carried out for a relaxed structure of TmMgCd.

As for the final energy: -2.094 eV per atom. As for the density: 6.3 g/cm³. The calculation puts the size of the total moment at 0.0 μB per formula unit. Its space-group type is F-43m, No. 216.

a b c (Å): 4.858 4.858 4.858
angles (deg): 60.00 60.00 60.00
Fractional coordinates of all 3 atoms:
Tm  0.000  0.000  0.000
Mg  0.750  0.750  0.750
Cd  0.500  0.500  0.500

=====

[7]
A plane-wave DFT calculation with PBE was carried out for a relaxed structure of Tm2MgCd.

As for the final energy: -3.035 eV per atom. As for the density: 7.7 g/cm³. The calculation puts the size of the total moment at 0.1 μB per formula unit. Its space-group type is P4/mmm, No. 123.

a b c (Å): 5.181 5.181 3.801
angles (deg): 90.00 90.00 90.00
Fractional coordinates of all 4 atoms:
Tm  0.000  0.500  0.000
Tm  0.500  0.000  0.000
Mg  0.000  0.000  0.500
Cd  0.500  0.500  0.500

=====

[8]
A plane-wave DFT calculation with PBE was carried out for a relaxed structure of Tm3Mg3Zn2Cd.

As for the final energy: -2.627 eV per atom. As for the density: 6.7 g/cm³. The calculation puts the size of the total moment at 0.0 μB per formula unit. Its space-group type is P-62m, No. 189.

a b c (Å): 7.431 7.431 4.291
angles (deg): 90.00 90.00 120.00
Fractional coordinates of all 9 atoms:
Tm  0.000  0.577  0.000
Tm  0.423  0.423  0.000
Tm  0.577  0.000  0.000
Mg  0.000  0.253  0.500
Mg  0.253  0.000  0.500
Mg  0.747  0.747  0.500
Zn  0.333  0.667  0.500
Zn  0.667  0.333  0.500
Cd  0.000  0.000  0.000

=====

[9]
A plane-wave DFT calculation with PBE was carried out for a relaxed structure of Tm3Mg3ZnCd2.

As for the final energy: -2.580 eV per atom. As for the density: 6.8 g/cm³. The calculation puts the size of the total moment at 0.0 μB per formula unit. Its space-group type is P-62m, No. 189.

a b c (Å): 7.551 7.551 4.316
angles (deg): 90.00 90.00 120.00
Fractional coordinates of all 9 atoms:
Tm  0.000  0.592  0.000
Tm  0.408  0.408  0.000
Tm  0.592  0.000  0.000
Mg  0.000  0.240  0.500
Mg  0.240  0.000  0.500
Mg  0.760  0.760  0.500
Zn  0.000  0.000  0.000
Cd  0.333  0.667  0.500
Cd  0.667  0.333  0.500

=====

[10]
A plane-wave DFT calculation with PBE was carried out for a relaxed structure of MgUCd.

As for the final energy: -3.427 eV per atom. As for the density: 6.8 g/cm³. The calculation puts the size of the total moment at 3.6 μB per formula unit. Its space-group type is F-43m, No. 216.

a b c (Å): 5.070 5.070 5.070
angles (deg): 60.00 60.00 60.00
Fractional coordinates of all 3 atoms:
Mg  0.000  0.000  0.000
U  0.250  0.250  0.250
Cd  0.500  0.500  0.500

=====

[11]
A plane-wave DFT calculation with PBE was carried out for a relaxed structure of MgUCd.

As for the final energy: -3.673 eV per atom. As for the density: 7.6 g/cm³. The calculation puts the size of the total moment at 2.7 μB per formula unit. Its space-group type is F-43m, No. 216.

a b c (Å): 4.881 4.881 4.881
angles (deg): 60.00 60.00 60.00
Fractional coordinates of all 3 atoms:
Mg  0.000  0.000  0.000
U  0.250  0.250  0.250
Cd  0.750  0.750  0.750

=====

[12]
A plane-wave DFT calculation with PBE was carried out for a relaxed structure of YMgZnCd.

As for the final energy: -2.861 eV per atom. As for the density: 5.6 g/cm³. The calculation puts the size of the total moment at 0.0 μB per formula unit. The energy relative to the lowest polymorph listed for this composition comes out at 0.0 meV per atom. Its space-group type is F-43m, No. 216.

a b c (Å): 4.961 4.961 4.961
angles (deg): 60.00 60.00 60.00
Fractional coordinates of all 4 atoms:
Y  0.000  0.000  0.000
Mg  0.500  0.500  0.500
Zn  0.250  0.250  0.250
Cd  0.750  0.750  0.750

=====

Copy entry 1 word for word.
A plane-wave DFT calculation with PBE was carried out for a relaxed structure of MgTlCd.

As for the final energy: -1.540 eV per atom. As for the density: 6.9 g/cm³. The energy relative to the lowest polymorph listed for this composition comes out at 0.0 meV per atom. Its space-group type is F-43m, No. 216.

a b c (Å): 4.869 4.869 4.869
angles (deg): 60.00 60.00 60.00
Fractional coordinates of all 3 atoms:
Mg  0.000  0.000  0.000
Tl  0.500  0.500  0.500
Cd  0.250  0.250  0.250

=====

Question: Which value of density does entry 9 give?
Answer: 6.8 g/cm³